# KNaMoF6

A relaxed structure of KNaMoF6 (GGA+U, Alexandria).

a b c (Å): 5.8461 5.8461 10.9595
angles (deg): 90.00 90.00 120.00
Last column: nearest neighbours and their distance in Å.
Fractional coordinates of all 18 atoms:
K: 0.0000 0.0000 0.0000  6 F 2.69
K: 0.0000 0.0000 0.5000  6 F 2.69
Na: 0.3333 0.6667 0.2500  6 F 2.36
Na: 0.6667 0.3333 0.7500  6 F 2.36
Mo: 0.6667 0.3333 0.2500  6 F 2.01
Mo: 0.3333 0.6667 0.7500  6 F 2.01
F: 0.6546 0.6097 0.1462  1 Mo 2.01
F: 0.9551 0.3454 0.1462  1 Mo 2.01
F: 0.3454 0.9551 0.6462  1 Mo 2.01
F: 0.0449 0.6546 0.8538  1 Mo 2.01
F: 0.3903 0.3454 0.3538  1 Mo 2.01
F: 0.9551 0.6097 0.3538  1 Mo 2.01
F: 0.6097 0.9551 0.8538  1 Mo 2.01
F: 0.6546 0.0449 0.3538  1 Mo 2.01
F: 0.0449 0.3903 0.6462  1 Mo 2.01
F: 0.3903 0.0449 0.1462  1 Mo 2.01
F: 0.6097 0.6546 0.6462  1 Mo 2.01
F: 0.3454 0.3903 0.8538  1 Mo 2.01

Summary:
Its density of states at the Fermi level is 0.0 states/eV/f.u. For the total energy, the calculation gives -5.05 eV/atom. As for the space group: P-31c, No. 163.

# K3Na2MoF9

A relaxed structure of K3Na2MoF9 (GGA+U, Alexandria).

a b c (Å): 6.1680 6.1680 7.7154
angles (deg): 90.00 90.00 120.00
Last column: nearest neighbours and their distance in Å.
Fractional coordinates of all 15 atoms:
K: 0.3333 0.6667 0.7533  3 F 2.61
K: 0.0000 0.0000 0.0000  12 F 3.08-3.16
K: 0.6667 0.3333 0.2467  3 F 2.61
Na: 0.3333 0.6667 0.1698  6 F 2.21-2.38
Na: 0.6667 0.3333 0.8302  6 F 2.21-2.38
Mo: 0.0000 0.0000 0.5000  6 F 2.00
F: 0.8467 0.1533 0.6494  1 Mo 2.00
F: 0.8467 0.6933 0.6494  1 Mo 2.00
F: 0.3067 0.1533 0.6494  1 Mo 2.00
F: 0.6933 0.8467 0.3506  1 Mo 2.00
F: 0.1533 0.3067 0.3506  1 Mo 2.00
F: 0.1533 0.8467 0.3506  1 Mo 2.00
F: 0.5000 0.0000 0.0000  2 Na 2.21
F: 0.0000 0.5000 0.0000  2 Na 2.21
F: 0.5000 0.5000 0.0000  2 Na 2.21

Summary:
Its density of states at the Fermi level is 7.1 states/eV/f.u. For the total energy, the calculation gives -4.67 eV/atom. As for the space group: P-3m1, No. 164.

# KNa2MoF6

A relaxed structure of KNa2MoF6 (GGA+U, Alexandria).

a b c (Å): 6.0157 6.1990 8.6146
angles (deg): 90.00 89.11 90.00
Last column: nearest neighbours and their distance in Å.
Fractional coordinates of all 20 atoms:
K: 0.5000 0.0000 0.0000  6 F 2.50-2.79
K: 0.0000 0.5000 0.5000  6 F 2.50-2.79
Na: 0.9899 0.9739 0.2830  5 F 2.29-2.45
Na: 0.4899 0.5261 0.7830  5 F 2.29-2.45
Na: 0.0101 0.0261 0.7170  5 F 2.29-2.45
Na: 0.5101 0.4739 0.2170  5 F 2.29-2.45
Mo: 0.5000 0.0000 0.5000  6 F 2.09-2.12
Mo: 0.0000 0.5000 0.0000  6 F 2.09-2.12
F: 0.3124 0.6409 0.0271  1 Mo 2.09, 1 Na 2.29
F: 0.8124 0.8591 0.5271  1 Mo 2.09, 1 Na 2.29
F: 0.6876 0.3591 0.9729  1 Mo 2.09, 1 Na 2.29
F: 0.1876 0.1409 0.4729  1 Mo 2.09, 1 Na 2.29
F: 0.3635 0.7315 0.3830  1 Mo 2.12, 1 Na 2.31
F: 0.8635 0.7685 0.8830  1 Mo 2.12, 1 Na 2.31
F: 0.6365 0.2685 0.6170  1 Mo 2.12, 1 Na 2.31
F: 0.1365 0.2315 0.1170  1 Mo 2.12, 1 Na 2.31
F: 0.8697 0.6336 0.2086  1 Mo 2.12, 1 Na 2.32
F: 0.3697 0.8664 0.7086  1 Mo 2.12, 1 Na 2.32
F: 0.1303 0.3664 0.7914  1 Mo 2.12, 1 Na 2.32
F: 0.6303 0.1336 0.2914  1 Mo 2.12, 1 Na 2.32

Summary:
For the excess energy over the best structure of this formula in the dataset, the calculation gives 0 meV/atom. Its density of states at the Fermi level is 0.0 states/eV/f.u. For the total energy, the calculation gives -4.94 eV/atom. As for the space group: P2_1/c, No. 14.

# K2NaMoF6

A relaxed structure of K2NaMoF6 (GGA+U, Alexandria).

a b c (Å): 6.1475 6.1475 6.1475
angles (deg): 60.00 60.00 60.00
Last column: nearest neighbours and their distance in Å.
Fractional coordinates of all 10 atoms:
K: 0.2500 0.2500 0.2500  12 F 3.07
K: 0.7500 0.7500 0.7500  12 F 3.07
Na: 0.5000 0.5000 0.5000  6 F 2.25
Mo: 0.0000 0.0000 0.0000  6 F 2.09
F: 0.7593 0.2407 0.7593  1 Mo 2.09, 1 Na 2.25
F: 0.2407 0.2407 0.7593  1 Mo 2.09, 1 Na 2.25
F: 0.7593 0.7593 0.2407  1 Mo 2.09, 1 Na 2.25
F: 0.7593 0.2407 0.2407  1 Mo 2.09, 1 Na 2.25
F: 0.2407 0.7593 0.2407  1 Mo 2.09, 1 Na 2.25
F: 0.2407 0.7593 0.7593  1 Mo 2.09, 1 Na 2.25

Summary:
For the excess energy over the best structure of this formula in the dataset, the calculation gives 11 meV/atom. Its density of states at the Fermi level is 0.0 states/eV/f.u. For the total energy, the calculation gives -4.96 eV/atom. As for the space group: Fm-3m, No. 225.

# K2NaMoF8

A relaxed structure of K2NaMoF8 (GGA+U, Alexandria).

a b c (Å): 4.9011 6.0488 7.9343
angles (deg): 89.49 90.55 93.01
Last column: nearest neighbours and their distance in Å.
Fractional coordinates of all 12 atoms:
K: 0.4880 0.5025 0.7282  2 F 2.48
K: 0.5120 0.4975 0.2718  2 F 2.48
Na: 0.0000 0.0000 0.5000  2 F 2.10
Mo: 0.0000 0.0000 0.0000  6 F 1.92-1.95
F: 0.2028 0.8588 0.1745  1 Mo 1.92
F: 0.7510 0.7381 0.9976  1 Mo 1.95
F: 0.8026 0.1300 0.1787  1 Mo 1.92
F: 0.7972 0.1412 0.8255  1 Mo 1.92
F: 0.2490 0.2619 0.0024  1 Mo 1.95
F: 0.1974 0.8700 0.8213  1 Mo 1.92
F: 0.7338 0.7163 0.5032  1 Na 2.10
F: 0.2662 0.2837 0.4968  1 Na 2.10

Summary:
For the total energy, the calculation gives -4.72 eV/atom. As for the space group: P-1, No. 2.

# K2NaMoF6

A relaxed structure of K2NaMoF6 (GGA+U, Alexandria).

a b c (Å): 6.1044 6.1531 8.6697
angles (deg): 90.00 89.89 90.00
Last column: nearest neighbours and their distance in Å.
Fractional coordinates of all 20 atoms:
K: 0.0059 0.9672 0.2504  8 F 2.71-3.02
K: 0.5059 0.5328 0.7504  8 F 2.71-3.02
K: 0.9941 0.0328 0.7496  8 F 2.71-3.02
K: 0.4941 0.4672 0.2496  8 F 2.71-3.02
Na: 0.5000 0.0000 0.0000  6 F 2.31-2.32
Na: 0.0000 0.5000 0.5000  6 F 2.31-2.32
Mo: 0.5000 0.0000 0.5000  6 F 2.10-2.11
Mo: 0.0000 0.5000 0.0000  6 F 2.10-2.11
F: 0.2745 0.7009 0.0330  1 Mo 2.10, 1 Na 2.32
F: 0.7745 0.7991 0.5330  1 Mo 2.10, 1 Na 2.32
F: 0.7255 0.2991 0.9670  1 Mo 2.10, 1 Na 2.32
F: 0.2255 0.2009 0.4670  1 Mo 2.10, 1 Na 2.32
F: 0.3012 0.7254 0.4645  1 Mo 2.10, 1 Na 2.32
F: 0.8012 0.7746 0.9645  1 Mo 2.10, 1 Na 2.32
F: 0.6988 0.2746 0.5355  1 Mo 2.10, 1 Na 2.32
F: 0.1988 0.2254 0.0355  1 Mo 2.10, 1 Na 2.32
F: 0.9344 0.5181 0.2383  1 Mo 2.11, 1 Na 2.31
F: 0.4344 0.9819 0.7383  1 Mo 2.11, 1 Na 2.31
F: 0.0656 0.4819 0.7617  1 Mo 2.11, 1 Na 2.31
F: 0.5656 0.0181 0.2617  1 Mo 2.11, 1 Na 2.31

Summary:
For the excess energy over the best structure of this formula in the dataset, the calculation gives 0 meV/atom. Its density of states at the Fermi level is 0.0 states/eV/f.u. For the total energy, the calculation gives -4.97 eV/atom. As for the space group: P2_1/c, No. 14.

# KNa2MoF6

A relaxed structure of KNa2MoF6 (GGA+U, Alexandria).

a b c (Å): 6.4331 6.4331 6.4331
angles (deg): 60.00 60.00 60.00
Last column: nearest neighbours and their distance in Å.
Fractional coordinates of all 10 atoms:
K: 0.5000 0.5000 0.5000  6 F 2.46
Na: 0.2500 0.2500 0.2500  12 F 3.22
Na: 0.7500 0.7500 0.7500  12 F 3.22
Mo: 0.0000 0.0000 0.0000  6 F 2.08
F: 0.2291 0.2291 0.7709  1 Mo 2.08
F: 0.2291 0.7709 0.7709  1 Mo 2.08
F: 0.7709 0.7709 0.2291  1 Mo 2.08
F: 0.2291 0.7709 0.2291  1 Mo 2.08
F: 0.7709 0.2291 0.7709  1 Mo 2.08
F: 0.7709 0.2291 0.2291  1 Mo 2.08

Summary:
For the excess energy over the best structure of this formula in the dataset, the calculation gives 190 meV/atom. Its density of states at the Fermi level is 0.0 states/eV/f.u. For the total energy, the calculation gives -4.75 eV/atom. As for the space group: Fm-3m, No. 225.

# K2NaMoO3F3

A relaxed structure of K2NaMoO3F3 (GGA+U, Alexandria).

a b c (Å): 6.0128 6.0128 8.7008
angles (deg): 90.00 90.00 90.00
Last column: nearest neighbours and their distance in Å.
Fractional coordinates of all 20 atoms:
K: 0.5000 0.0000 0.7633  4 O 2.86-3.02, 6 F 2.98-3.11
K: 0.0000 0.5000 0.2633  4 O 2.86-3.02, 6 F 2.98-3.11
K: 0.5000 0.0000 0.2633  4 O 2.86-3.02, 6 F 2.98-3.11
K: 0.0000 0.5000 0.7633  4 O 2.86-3.02, 6 F 2.98-3.11
Na: 0.5000 0.5000 0.5038  3 F 2.24-2.27, 3 O 2.43-2.46
Na: 0.0000 0.0000 0.0038  3 F 2.24-2.27, 3 O 2.43-2.46
Mo: 0.5000 0.5000 0.0204  3 O 1.78-1.84
Mo: 0.0000 0.0000 0.5204  3 O 1.78-1.84
O: 0.5000 0.5000 0.2250  1 Mo 1.78
O: 0.7122 0.2878 0.9808  1 Mo 1.84
O: 0.2122 0.2122 0.4808  1 Mo 1.84
O: 0.0000 0.0000 0.7250  1 Mo 1.78
O: 0.7878 0.7878 0.4808  1 Mo 1.84
O: 0.2878 0.7122 0.9808  1 Mo 1.84
F: 0.2370 0.7630 0.5023  1 Mo 2.02, 1 Na 2.24
F: 0.5000 0.5000 0.7641  1 Mo 2.23, 1 Na 2.27
F: 0.2630 0.2630 0.0023  1 Mo 2.02, 1 Na 2.24
F: 0.0000 0.0000 0.2641  1 Mo 2.23, 1 Na 2.27
F: 0.7370 0.7370 0.0023  1 Mo 2.02, 1 Na 2.24
F: 0.7630 0.2370 0.5023  1 Mo 2.02, 1 Na 2.24

Summary:
Its density of states at the Fermi level is 0.0 states/eV/f.u. For the total energy, the calculation gives -5.36 eV/atom. As for the space group: P4_2nm, No. 102.